No. 1
The following is a DFT calculation (PBE-GGA) of an optimized crystal structure of AgTe2CN.

Unit cell a=6.292 b=6.292 c=2.646 alpha=90.00 beta=90.00 gamma=90.00
Atoms (fractional coordinates):
C1 0.000 0.000 0.000
Te1 0.000 0.500 0.000
Te2 0.500 0.000 0.000
Ag1 0.500 0.500 0.500
N1 0.000 0.000 0.500

Calculated values
Uncorrected formation energy = 86 kJ/mol of atoms
SG = No. 123
Final energy = -4.447 eV per atom
Magnetization = 0.00 μB/cell

No. 2
The following is a DFT calculation (PBE-GGA) of an optimized crystal structure of TlAg2CN.

Unit cell a=6.122 b=2.595 c=6.122 alpha=90.00 beta=90.00 gamma=90.00
Atoms (fractional coordinates):
Tl1 0.500 0.500 0.500
C1 0.000 0.500 0.000
Ag1 0.000 0.000 0.500
Ag2 0.500 0.000 0.000
N1 0.000 0.000 0.000

Calculated values
Uncorrected formation energy = 95 kJ/mol of atoms
SG = No. 123
Final energy = -4.139 eV per atom
Magnetization = 0.00 μB/cell

No. 3
The following is a DFT calculation (PBE-GGA) of an optimized crystal structure of NaAgC2.

Unit cell a=6.411 b=6.411 c=5.325 alpha=52.99 beta=52.99 gamma=90.00
Atoms (fractional coordinates):
Na1 0.500 0.500 0.000
Na2 0.250 0.750 0.500
C1 0.682 0.125 0.250
C2 0.068 0.625 0.250
C3 0.375 0.318 0.750
C4 0.875 0.932 0.750
Ag1 0.000 0.000 0.000
Ag2 0.750 0.250 0.500

Calculated values
SG = No. 122
Final energy = -3.431 eV per atom
Calculated formation energy = 2.224 eV per atom
Magnetization = 0.00 μB/cell

No. 4
The following is a DFT calculation (PBE-GGA) of an optimized crystal structure of NaAg2C.

Unit cell a=5.424 b=5.424 c=7.403 alpha=68.51 beta=68.51 gamma=90.00
Atoms (fractional coordinates):
Na1 0.000 0.000 0.000
Na2 0.750 0.250 0.500
C1 0.500 0.500 0.000
C2 0.250 0.750 0.500
Ag1 0.375 0.125 0.250
Ag2 0.375 0.625 0.250
Ag3 0.375 0.625 0.750
Ag4 0.875 0.625 0.750

Calculated values
SG = No. 141
Final energy = -3.180 eV per atom
Calculated formation energy = 0.881 eV per atom
Magnetization = 0.00 μB/cell

No. 5
The following is a DFT calculation (PBE-GGA) of an optimized crystal structure of NaAgC2.

Unit cell a=4.065 b=4.065 c=4.065 alpha=60.00 beta=60.00 gamma=60.00
Atoms (fractional coordinates):
Na1 0.000 0.000 0.000
C1 0.250 0.250 0.250
C2 0.750 0.750 0.750
Ag1 0.500 0.500 0.500

Calculated values
SG = No. 225
Final energy = -3.513 eV per atom
Calculated formation energy = 2.141 eV per atom
Magnetization = 0.00 μB/cell

No. 6
The following is a DFT calculation (PBE-GGA) of an optimized crystal structure of NaAg3C.

Unit cell a=4.991 b=4.991 c=4.991 alpha=90.00 beta=90.00 gamma=90.00
Each line ends with the local moment (μB).
Atoms (fractional coordinates):
Na1 0.000 0.000 0.000  0.00
C1 0.500 0.500 0.500  0.78
Ag1 0.000 0.500 0.000  -0.01
Ag2 0.000 0.000 0.500  0.01
Ag3 0.500 0.000 0.000  -0.04

Calculated values
SG = No. 221
Final energy = -1.732 eV per atom
Calculated formation energy = 2.087 eV per atom
Magnetization = 1.53 μB/cell

No. 7
The following is a DFT calculation (PBE-GGA) of an optimized crystal structure of NaAgC2.

Unit cell a=3.797 b=3.797 c=5.354 alpha=90.00 beta=90.00 gamma=90.00
Atoms (fractional coordinates):
Na1 0.500 0.500 0.500
C1 0.000 0.000 0.617
C2 0.000 0.000 0.383
Ag1 0.000 0.000 0.000

Calculated values
SG = No. 123
Final energy = -5.232 eV per atom
Calculated formation energy = 0.422 eV per atom
Magnetization = 0.00 μB/cell

No. 8
The following is a DFT calculation (PBE-GGA) of an optimized crystal structure of NaAg3C.

Unit cell a=4.421 b=4.421 c=4.421 alpha=90.00 beta=90.00 gamma=90.00
Atoms (fractional coordinates):
Na1 0.500 0.500 0.500
C1 0.000 0.000 0.000
Ag1 0.000 0.500 0.000
Ag2 0.000 0.000 0.500
Ag3 0.500 0.000 0.000

Calculated values
SG = No. 221
Final energy = -3.305 eV per atom
Calculated formation energy = 0.515 eV per atom
Magnetization = 0.00 μB/cell

No. 9
The following is a DFT calculation (PBE-GGA) of an optimized crystal structure of NaAg2C2O6.

Unit cell a=5.278 b=5.278 c=6.698 alpha=90.00 beta=90.00 gamma=120.00
Each line ends with the local moment (μB).
Atoms (fractional coordinates):
Na1 0.000 0.000 0.000  0.00
Ag1 0.667 0.333 0.735  0.16
Ag2 0.333 0.667 0.265  0.16
C1 0.333 0.667 0.773  -0.01
C2 0.667 0.333 0.227  -0.01
O1 0.120 0.399 0.773  0.12
O2 0.601 0.722 0.773  0.12
O3 0.278 0.880 0.773  0.12
O4 0.880 0.601 0.227  0.12
O5 0.399 0.278 0.227  0.12
O6 0.722 0.120 0.227  0.12

Calculated values
Uncorrected formation energy = -100 kJ/mol of atoms
SG = No. 147
Final energy = -6.054 eV per atom
Magnetization = 1.08 μB/cell

No. 10
The following is a DFT calculation (PBE-GGA) of an optimized crystal structure of NaAgC2O4.

Unit cell a=3.543 b=5.312 c=11.119 alpha=88.08 beta=84.16 gamma=88.14
Atoms (fractional coordinates):
Na1 0.285 0.435 0.144
Na2 0.715 0.565 0.856
Ag1 0.659 0.933 0.337
Ag2 0.341 0.067 0.663
C1 0.107 0.437 0.443
C2 0.893 0.563 0.557
C3 0.882 0.952 0.060
C4 0.118 0.048 0.940
O1 0.169 0.891 0.855
O2 0.831 0.109 0.145
O3 0.238 0.270 0.937
O4 0.762 0.730 0.063
O5 0.910 0.451 0.660
O6 0.090 0.549 0.340
O7 0.715 0.769 0.540
O8 0.285 0.231 0.460

Calculated values
Uncorrected formation energy = -108 kJ/mol of atoms
SG = No. 2
Final energy = -6.428 eV per atom
Magnetization = 0.00 μB/cell

No. 11
The following is a DFT calculation (PBE-GGA) of an optimized crystal structure of NaAgC2O4.

Unit cell a=5.161 b=3.645 c=10.935 alpha=87.01 beta=90.00 gamma=90.00
Atoms (fractional coordinates):
Na1 0.564 0.298 0.898
Na2 0.064 0.702 0.102
Ag1 0.458 0.610 0.580
Ag2 0.958 0.390 0.420
C1 0.446 0.935 0.306
C2 0.946 0.065 0.694
C3 0.547 0.146 0.186
C4 0.047 0.854 0.814
O1 0.893 0.837 0.905
O2 0.393 0.163 0.095
O3 0.080 0.042 0.597
O4 0.580 0.958 0.403
O5 0.739 0.247 0.703
O6 0.239 0.753 0.297
O7 0.272 0.720 0.811
O8 0.772 0.280 0.189

Calculated values
Uncorrected formation energy = -108 kJ/mol of atoms
SG = No. 4
Final energy = -6.428 eV per atom
Magnetization = 0.00 μB/cell

No. 12
The following is a DFT calculation (PBE-GGA) of an optimized crystal structure of NaAgC2O4.

Unit cell a=5.317 b=3.553 c=11.072 alpha=84.26 beta=90.00 gamma=90.00
Atoms (fractional coordinates):
Na1 0.189 0.684 0.854
Na2 0.811 0.684 0.354
Ag1 0.319 0.305 0.157
Ag2 0.681 0.305 0.657
C1 0.292 0.112 0.439
C2 0.708 0.112 0.939
C3 0.188 0.895 0.559
C4 0.812 0.895 0.059
O1 0.019 0.723 0.049
O2 0.981 0.723 0.549
O3 0.483 0.229 0.937
O4 0.517 0.229 0.437
O5 0.684 0.901 0.156
O6 0.316 0.901 0.656
O7 0.861 0.150 0.849
O8 0.139 0.150 0.349

Calculated values
Uncorrected formation energy = -108 kJ/mol of atoms
SG = No. 7
Final energy = -6.427 eV per atom
Magnetization = 0.00 μB/cell

Q: What is the final energy in the fourth record?
A: -3.180 eV per atom

Q: What is the final energy in the tenth record?
A: -6.428 eV per atom

Q: Look up the final energy of the ninth one.
A: -6.054 eV per atom